A geometry-optimized Nd2NbGe3 structure, computed with PBE.

Total magnetization ... 0.000 μB/atom
Calculated formation energy ... -0.5101 eV/atom
Total DFT energy (no corrections) ... -6.09 eV/atom

abc: 5.7642 8.1024 7.0735
angles: 106.63 114.04 90.00
Atoms (fractional coordinates):
Nd1 0.6725 0.0862 0.3448
Nd2 0.6723 0.5862 0.3448
Nd3 0.3275 0.9138 0.6552
Nd4 0.3277 0.4138 0.6552
Ge1 0.8564 0.4282 0.7126
Ge2 0.5000 0.7500 0.0000
Ge3 0.8562 0.9282 0.7126
Ge4 0.1438 0.0718 0.2874
Ge5 0.1436 0.5718 0.2874
Ge6 0.5000 0.2500 0.0000
Nb1 0.0001 0.2500 0.0000
Nb2 0.9999 0.7500 0.0000

***

A geometry-optimized Ba2H3Pd17 structure, computed with PBE.

Total magnetization ... 0.000 μB/atom
Total DFT energy (no corrections) ... -4.86 eV/atom

abc: 7.0954 7.0954 7.0954
angles: 83.45 83.45 83.45
Atoms (fractional coordinates):
Pd1 0.0000 0.7064 0.2936
Pd2 0.6533 0.1482 0.6533
Pd3 0.2936 0.7064 0.0000
Pd4 0.9013 0.9013 0.9013
Pd5 0.8518 0.3467 0.3467
Pd6 0.0987 0.0987 0.0987
Pd7 0.1482 0.6533 0.6533
Pd8 0.0000 0.5000 0.0000
Pd9 0.7064 0.0000 0.2936
Pd10 0.5000 0.0000 0.0000
Pd11 0.3467 0.3467 0.8518
Pd12 0.3467 0.8518 0.3467
Pd13 0.2936 0.0000 0.7064
Pd14 0.0000 0.2936 0.7064
Pd15 0.7064 0.2936 0.0000
Pd16 0.6533 0.6533 0.1482
Pd17 0.0000 0.0000 0.5000
H1 0.0000 0.5000 0.5000
H2 0.5000 0.0000 0.5000
H3 0.5000 0.5000 0.0000
Ba1 0.3412 0.3412 0.3412
Ba2 0.6588 0.6588 0.6588

***

A geometry-optimized SrLi5Ca4 structure, computed with PBE.

Total magnetization ... 0.000 μB/atom
Calculated formation energy ... 0.0185 eV/atom
Total DFT energy (no corrections) ... -1.91 eV/atom

abc: 4.0386 4.0386 19.9188
angles: 90.00 90.00 90.00
Atoms (fractional coordinates):
Li1 0.5000 0.5000 0.3039
Li2 0.5000 0.5000 0.6961
Li3 0.5000 0.5000 0.5000
Li4 0.5000 0.5000 0.8879
Li5 0.5000 0.5000 0.1121
Ca1 0.0000 0.0000 0.7935
Ca2 0.0000 0.0000 0.4022
Ca3 0.0000 0.0000 0.5978
Ca4 0.0000 0.0000 0.2065
Sr1 0.0000 0.0000 0.0000

***

A geometry-optimized ErZr3Zn8 structure, computed with PBE.

Total magnetization ... 0.282 μB/atom
Energy relative to the lowest polymorph listed for this composition ... 0.0000 eV per atom
Calculated formation energy ... -0.2810 eV/atom
Total DFT energy (no corrections) ... -3.65 eV/atom

abc: 5.2878 5.2878 9.1561
angles: 73.22 73.22 60.00
Each line ends with the local moment (μB).
Atoms (fractional coordinates):
Zn1 0.9375 0.4349 0.6901  0.01
Zn2 0.9375 0.9375 0.6901  0.01
Zn3 0.4385 0.4385 0.1841  0.01
Zn4 0.9390 0.4385 0.1841  0.01
Zn5 0.6877 0.6877 0.9368  0.01
Zn6 0.1869 0.1869 0.4392  0.02
Zn7 0.4385 0.9390 0.1841  0.01
Zn8 0.4349 0.9375 0.6901  0.01
Zr1 0.0019 0.0019 0.9943  0.62
Zr2 0.3746 0.3746 0.8763  0.63
Zr3 0.4974 0.4974 0.5079  0.54
Er1 0.8757 0.8757 0.3730  0.40